(1)
The following is a GGA-PBE calculation of a geometry-optimized LaCr5 structure, from Alexandria.

Space-group type: F-43m, No. 216
Excess energy over the best structure of this formula in the dataset (kJ/mol of atoms): 22.0
Theoretical density (g cm⁻³): 7.278
ΔE_f (eV/atom): 0.606
DOS at the Fermi energy (states/eV per cell): 7.87

CIF file:
```
data_LaCr5
_cell_length_a 5.049
_cell_length_b 5.049
_cell_length_c 5.049
_cell_angle_alpha 60.00
_cell_angle_beta 60.00
_cell_angle_gamma 60.00
_space_group_name_H-M_alt 'P 1'
_space_group_IT_number 1
loop_
_space_group_symop_operation_xyz
'x,y,z'
loop_
_atom_site_label
_atom_site_fract_x
_atom_site_fract_y
_atom_site_fract_z
_atom_site_occupancy
La1 0.000 0.000 0.000 1
Cr1 0.874 0.375 0.375 1
Cr2 0.750 0.750 0.750 1
Cr3 0.375 0.874 0.375 1
Cr4 0.375 0.375 0.375 1
Cr5 0.375 0.375 0.874 1
```



(2)
The following is a GGA-PBE calculation of a geometry-optimized LaCr structure, from Alexandria.

Space-group type: P6_3/mmc, No. 194
Theoretical density (g cm⁻³): 5.992
ΔE_f (eV/atom): 0.381
DOS at the Fermi energy (states/eV per cell): 11.73

CIF file:
```
data_LaCr
_cell_length_a 3.948
_cell_length_b 3.948
_cell_length_c 15.674
_cell_angle_alpha 90.00
_cell_angle_beta 90.00
_cell_angle_gamma 120.00
_space_group_name_H-M_alt 'P 1'
_space_group_IT_number 1
loop_
_space_group_symop_operation_xyz
'x,y,z'
loop_
_atom_site_label
_atom_site_fract_x
_atom_site_fract_y
_atom_site_fract_z
_atom_site_occupancy
La1 0.333 0.667 0.109 1
La2 0.667 0.333 0.609 1
La3 0.667 0.333 0.891 1
La4 0.333 0.667 0.391 1
Cr1 0.000 0.000 0.250 1
Cr2 0.000 0.000 0.750 1
Cr3 0.333 0.667 0.750 1
Cr4 0.667 0.333 0.250 1
```



(3)
The following is a GGA-PBE calculation of a geometry-optimized LaCr structure, from Alexandria.

Space-group type: Pmn2_1, No. 31
Theoretical density (g cm⁻³): 6.395
ΔE_f (eV/atom): 0.509
DOS at the Fermi energy (states/eV per cell): 18.53

CIF file:
```
data_LaCr
_cell_length_a 11.801
_cell_length_b 3.633
_cell_length_c 6.937
_cell_angle_alpha 90.00
_cell_angle_beta 90.00
_cell_angle_gamma 90.00
_space_group_name_H-M_alt 'P 1'
_space_group_IT_number 1
loop_
_space_group_symop_operation_xyz
'x,y,z'
loop_
_atom_site_label
_atom_site_fract_x
_atom_site_fract_y
_atom_site_fract_z
_atom_site_occupancy
La1 0.795 0.246 0.211 1
La2 0.705 0.754 0.711 1
La3 0.205 0.246 0.211 1
La4 0.295 0.754 0.711 1
La5 0.000 0.750 0.927 1
La6 0.500 0.250 0.427 1
Cr1 0.913 0.253 0.605 1
Cr2 0.587 0.747 0.105 1
Cr3 0.087 0.253 0.605 1
Cr4 0.413 0.747 0.105 1
Cr5 0.000 0.750 0.443 1
Cr6 0.500 0.250 0.943 1
```



(4)
The following is a GGA-PBE calculation of a geometry-optimized LaCr structure, from Alexandria.

Space-group type: Pm-3n, No. 223
Theoretical density (g cm⁻³): 3.554
ΔE_f (eV/atom): 1.726
DOS at the Fermi energy (states/eV per cell): 18.73

CIF file:
```
data_LaCr
_cell_length_a 8.119
_cell_length_b 8.119
_cell_length_c 8.119
_cell_angle_alpha 90.00
_cell_angle_beta 90.00
_cell_angle_gamma 90.00
_space_group_name_H-M_alt 'P 1'
_space_group_IT_number 1
loop_
_space_group_symop_operation_xyz
'x,y,z'
loop_
_atom_site_label
_atom_site_fract_x
_atom_site_fract_y
_atom_site_fract_z
_atom_site_occupancy
La1 0.250 0.500 0.000 1
La2 0.750 0.500 0.000 1
La3 0.500 0.000 0.250 1
La4 0.500 0.000 0.750 1
La5 0.000 0.250 0.500 1
La6 0.000 0.750 0.500 1
Cr1 0.250 0.000 0.500 1
Cr2 0.750 0.000 0.500 1
Cr3 0.000 0.500 0.250 1
Cr4 0.000 0.500 0.750 1
Cr5 0.500 0.250 0.000 1
Cr6 0.500 0.750 0.000 1
```



(5)
The following is a GGA-PBE calculation of a geometry-optimized LaCr2 structure, from Alexandria.

Space-group type: Pa-3, No. 205
Theoretical density (g cm⁻³): 5.029
ΔE_f (eV/atom): 1.553
DOS at the Fermi energy (states/eV per cell): 9.97

CIF file:
```
data_LaCr2
_cell_length_a 6.846
_cell_length_b 6.846
_cell_length_c 6.846
_cell_angle_alpha 90.00
_cell_angle_beta 90.00
_cell_angle_gamma 90.00
_space_group_name_H-M_alt 'P 1'
_space_group_IT_number 1
loop_
_space_group_symop_operation_xyz
'x,y,z'
loop_
_atom_site_label
_atom_site_fract_x
_atom_site_fract_y
_atom_site_fract_z
_atom_site_occupancy
Cr1 0.115 0.615 0.885 1
Cr2 0.115 0.885 0.385 1
Cr3 0.385 0.115 0.885 1
Cr4 0.385 0.385 0.385 1
Cr5 0.615 0.615 0.615 1
Cr6 0.615 0.885 0.115 1
Cr7 0.885 0.115 0.615 1
Cr8 0.885 0.385 0.115 1
La1 0.000 0.000 0.000 1
La2 0.000 0.500 0.500 1
La3 0.500 0.000 0.500 1
La4 0.500 0.500 0.000 1
```



(6)
The following is a GGA-PBE calculation of a geometry-optimized LaCr2 structure, from Alexandria.

Space-group type: P6/mmm, No. 191
Theoretical density (g cm⁻³): 6.641
ΔE_f (eV/atom): 0.628
DOS at the Fermi energy (states/eV per cell): 4.54

CIF file:
```
data_LaCr2
_cell_length_a 3.828
_cell_length_b 3.828
_cell_length_c 4.786
_cell_angle_alpha 90.00
_cell_angle_beta 90.00
_cell_angle_gamma 120.00
_space_group_name_H-M_alt 'P 1'
_space_group_IT_number 1
loop_
_space_group_symop_operation_xyz
'x,y,z'
loop_
_atom_site_label
_atom_site_fract_x
_atom_site_fract_y
_atom_site_fract_z
_atom_site_occupancy
Cr1 0.333 0.667 0.500 1
Cr2 0.667 0.333 0.500 1
La1 0.000 0.000 0.000 1
```



(7)
The following is a GGA-PBE calculation of a geometry-optimized La5Cr4 structure, from Alexandria.

Space-group type: I4/mmm, No. 139
Excess energy over the best structure of this formula in the dataset (kJ/mol of atoms): 9.2
Theoretical density (g cm⁻³): 6.826
ΔE_f (eV/atom): 0.604
DOS at the Fermi energy (states/eV per cell): 13.10

CIF file:
```
data_La5Cr4
_cell_length_a 7.314
_cell_length_b 7.314
_cell_length_c 7.314
_cell_angle_alpha 95.53
_cell_angle_beta 95.53
_cell_angle_gamma 143.81
_space_group_name_H-M_alt 'P 1'
_space_group_IT_number 1
loop_
_space_group_symop_operation_xyz
'x,y,z'
loop_
_atom_site_label
_atom_site_fract_x
_atom_site_fract_y
_atom_site_fract_z
_atom_site_occupancy
La1 0.000 0.000 0.000 1
La2 0.326 0.674 0.000 1
La3 0.326 0.326 0.652 1
La4 0.674 0.674 0.348 1
La5 0.674 0.326 0.000 1
Cr1 0.000 0.600 0.600 1
Cr2 0.000 0.400 0.400 1
Cr3 0.400 0.000 0.400 1
Cr4 0.600 0.000 0.600 1
```



(8)
The following is a GGA-PBE calculation of a geometry-optimized La3Cr4 structure, from Alexandria.

Space-group type: P6/mmm, No. 191
Excess energy over the best structure of this formula in the dataset (kJ/mol of atoms): 62.0
Theoretical density (g cm⁻³): 5.678
ΔE_f (eV/atom): 1.072
DOS at the Fermi energy (states/eV per cell): 9.13

CIF file:
```
data_La3Cr4
_cell_length_a 6.703
_cell_length_b 6.703
_cell_length_c 4.695
_cell_angle_alpha 90.00
_cell_angle_beta 90.00
_cell_angle_gamma 120.00
_space_group_name_H-M_alt 'P 1'
_space_group_IT_number 1
loop_
_space_group_symop_operation_xyz
'x,y,z'
loop_
_atom_site_label
_atom_site_fract_x
_atom_site_fract_y
_atom_site_fract_z
_atom_site_occupancy
La1 0.000 0.500 0.000 1
La2 0.500 0.500 0.000 1
La3 0.500 0.000 0.000 1
Cr1 0.000 0.000 0.196 1
Cr2 0.000 0.000 0.804 1
Cr3 0.667 0.333 0.500 1
Cr4 0.333 0.667 0.500 1
```



(9)
The following is a GGA-PBE calculation of a geometry-optimized La3Cr structure, from Alexandria.

Space-group type: Pm-3n, No. 223
Theoretical density (g cm⁻³): 6.167
ΔE_f (eV/atom): 0.387
DOS at the Fermi energy (states/eV per cell): 10.51

CIF file:
```
data_La3Cr
_cell_length_a 6.320
_cell_length_b 6.320
_cell_length_c 6.320
_cell_angle_alpha 90.00
_cell_angle_beta 90.00
_cell_angle_gamma 90.00
_space_group_name_H-M_alt 'P 1'
_space_group_IT_number 1
loop_
_space_group_symop_operation_xyz
'x,y,z'
loop_
_atom_site_label
_atom_site_fract_x
_atom_site_fract_y
_atom_site_fract_z
_atom_site_occupancy
La1 0.000 0.250 0.500 1
La2 0.000 0.750 0.500 1
La3 0.250 0.500 0.000 1
La4 0.500 0.000 0.250 1
La5 0.500 0.000 0.750 1
La6 0.750 0.500 0.000 1
Cr1 0.000 0.000 0.000 1
Cr2 0.500 0.500 0.500 1
```



(10)
The following is a GGA-PBE calculation of a geometry-optimized LaCr structure, from Alexandria.

Space-group type: F-43m, No. 216
Theoretical density (g cm⁻³): 4.325
ΔE_f (eV/atom): 1.578
DOS at the Fermi energy (states/eV per cell): 3.16

CIF file:
```
data_LaCr
_cell_length_a 4.697
_cell_length_b 4.697
_cell_length_c 4.697
_cell_angle_alpha 60.00
_cell_angle_beta 60.00
_cell_angle_gamma 60.00
_space_group_name_H-M_alt 'P 1'
_space_group_IT_number 1
loop_
_space_group_symop_operation_xyz
'x,y,z'
loop_
_atom_site_label
_atom_site_fract_x
_atom_site_fract_y
_atom_site_fract_z
_atom_site_occupancy
Cr1 0.000 0.000 0.000 1
La1 0.250 0.250 0.250 1
```



(11)
The following is a GGA-PBE calculation of a geometry-optimized LaCr5 structure, from Alexandria.

Space-group type: P6/mmm, No. 191
Excess energy over the best structure of this formula in the dataset (kJ/mol of atoms): 0.0
Theoretical density (g cm⁻³): 6.466
ΔE_f (eV/atom): 0.378
DOS at the Fermi energy (states/eV per cell): 4.46

CIF file:
```
data_LaCr5
_cell_length_a 5.689
_cell_length_b 5.689
_cell_length_c 3.655
_cell_angle_alpha 90.00
_cell_angle_beta 90.00
_cell_angle_gamma 120.00
_space_group_name_H-M_alt 'P 1'
_space_group_IT_number 1
loop_
_space_group_symop_operation_xyz
'x,y,z'
loop_
_atom_site_label
_atom_site_fract_x
_atom_site_fract_y
_atom_site_fract_z
_atom_site_occupancy
La1 0.000 0.000 0.000 1
Cr1 0.000 0.500 0.500 1
Cr2 0.333 0.667 0.000 1
Cr3 0.500 0.000 0.500 1
Cr4 0.500 0.500 0.500 1
Cr5 0.667 0.333 0.000 1
```



(12)
The following is a GGA-PBE calculation of a geometry-optimized La3Cr4 structure, from Alexandria.

Space-group type: I4/mmm, No. 139
Excess energy over the best structure of this formula in the dataset (kJ/mol of atoms): 0.0
Theoretical density (g cm⁻³): 6.803
ΔE_f (eV/atom): 0.430
DOS at the Fermi energy (states/eV per cell): 9.52

CIF file:
```
data_La3Cr4
_cell_length_a 15.087
_cell_length_b 15.087
_cell_length_c 15.087
_cell_angle_alpha 167.83
_cell_angle_beta 167.83
_cell_angle_gamma 17.24
_space_group_name_H-M_alt 'P 1'
_space_group_IT_number 1
loop_
_space_group_symop_operation_xyz
'x,y,z'
loop_
_atom_site_label
_atom_site_fract_x
_atom_site_fract_y
_atom_site_fract_z
_atom_site_occupancy
La1 0.000 0.000 0.000 1
La2 0.694 0.694 0.000 1
La3 0.306 0.306 0.000 1
Cr1 0.885 0.885 0.000 1
Cr2 0.582 0.582 0.000 1
Cr3 0.418 0.418 0.000 1
Cr4 0.115 0.115 0.000 1
```